No. 1
A relaxed structure of Zn3CdAg4. Source: Alexandria via LeMat-Bulk, functional PBE.

Cell: 2.904 4.346 10.907 Å, 90.00 90.00 90.00°
Atoms (fractional coordinates):
Zn  0.000  0.500  0.569
Zn  0.000  0.000  0.436
Zn  0.500  0.000  0.914
Cd  0.500  0.500  0.069
Ag  0.500  0.500  0.340
Ag  0.000  0.500  0.819
Ag  0.000  0.000  0.189
Ag  0.500  0.000  0.665

## Properties
M_tot, μB per formula unit: 0.00
VASP energy, eV/atom: -2.043
Symmetry: No. 25
Energy of formation, eV/atom: -0.0254

=====

No. 2
A relaxed structure of TmGa6W. Source: Alexandria via LeMat-Bulk, functional PBE.

Cell: 5.814 5.814 5.817 Å, 72.00 72.00 108.01°
Atoms (fractional coordinates):
Tm  0.500  0.500  0.500
Ga  0.172  0.723  0.277
Ga  0.723  0.172  0.277
Ga  0.277  0.828  0.723
Ga  0.828  0.277  0.723
Ga  0.277  0.277  0.173
Ga  0.723  0.723  0.827
W  0.000  0.000  0.000

## Properties
M_tot, μB per formula unit: 0.00
VASP energy, eV/atom: -4.461
Symmetry: No. 166
Energy of formation, eV/atom: -0.0129

=====

No. 3
A relaxed structure of Ti2Be. Source: Alexandria via LeMat-Bulk, functional PBE.

Cell: 4.043 4.042 4.044 Å, 119.98 119.83 90.00°
Atoms (fractional coordinates):
Ti  0.750  0.250  0.500
Ti  0.250  0.750  0.500
Be  0.000  0.000  0.000

## Properties
M_tot, μB per formula unit: 0.00
VASP energy, eV/atom: -6.210
Symmetry: No. 12
Energy of formation, eV/atom: 0.2952